The following is a DFT calculation (PBE+U) of a relaxed structure of CaGaWO6.

The calculation puts the total DFT energy (no corrections) at -120.0 eV per cell. The value obtained for the total magnetization is 2.10 Bohr magnetons per cell.

Cell: 5.231 5.231 10.072 Å, 90.00 90.00 120.00°
Element x y z (fractional)
Ca1 0.000 0.000 0.000
Ca2 0.000 0.000 0.500
Ga1 0.333 0.667 0.250
Ga2 0.667 0.333 0.750
W1 0.333 0.667 0.750
W2 0.667 0.333 0.250
O1 0.008 0.372 0.643
O2 0.008 0.636 0.857
O3 0.364 0.372 0.857
O4 0.364 0.992 0.643
O5 0.372 0.008 0.143
O6 0.372 0.364 0.357
O7 0.628 0.636 0.643
O8 0.628 0.992 0.857
O9 0.636 0.008 0.357
O10 0.636 0.628 0.143
O11 0.992 0.364 0.143
O12 0.992 0.628 0.357